Below is a relaxed structure of Sr3TiN3, with properties calculated at the PBE-GGA level.

- DOS at the Fermi energy: 0.26 states/eV per atom
- Raw total energy: -0.2309 Ha/atom
- Crystal system: hexagonal
- Uncorrected formation energy: -0.8673 eV/atom
- Offset from the most stable computed form: 0.00 eV/f.u.
- Volume: 20.806 Å³ per atom

The structure in CIF format:
```
data_Sr3TiN3
_chemical_formula_sum 'Sr6 Ti2 N6'
_symmetry_space_group_name_H-M 'P 63/m'
_symmetry_Int_Tables_number 176
_symmetry_space_group_name_Hall '-P 6c'
_cell_length_a 7.9515
_cell_length_b 7.9515
_cell_length_c 5.3195
_cell_angle_alpha 90.00
_cell_angle_beta 90.00
_cell_angle_gamma 120.00
loop_
_atom_site_label
_atom_site_fract_x
_atom_site_fract_y
_atom_site_fract_z
Sr1 0.0850 0.3571 0.2500
Ti1 0.3333 0.6667 0.7500
N1 0.1204 0.4063 0.7500
```